The following is a DFT calculation (PBE-GGA) of a geometry-optimized TbSmTlSe3 structure.

Properties
The value obtained for the total DFT energy (no corrections) is -59.7 eV for the cell shown. Its size of the total moment is 0.04 μB per formula unit. The space group is Cmcm (63).

Structure (POSCAR):
```
TbSmTlSe3
1.0
2.203 -7.263 0.000
2.203 7.263 0.000
0.000 0.000 11.595
Se Sm Tb Tl
6 2 2 2
Cartesian
2.203 5.292 0.425 Se
2.203 0.865 2.899 Se
2.203 5.292 5.373 Se
2.203 -5.292 6.222 Se
2.203 -0.865 8.696 Se
2.203 -5.292 11.170 Se
2.203 0.000 0.000 Sm
2.203 0.000 5.797 Sm
2.203 6.440 2.899 Tb
2.203 -6.440 8.696 Tb
2.203 -3.818 2.899 Tl
2.203 3.818 8.696 Tl
```